First-principles (PBE) data for an optimized crystal structure of Pa2Cr2Si2C, as listed in Alexandria.

Summary:
Fermi-level density of states in states/eV per atom: 1.090
Density in g/cm3: 9.38
Uncorrected energy in eV per atom: -8.78
Energy relative to the elements, uncorrected in eV/atom: -0.453

Lattice parameters (Å, degrees): 10.6298 3.9107 6.8190 90.00 127.61 90.00
With the nearest neighbours (Å) after each atom.
Space group C2/m (No. 12)
Unique sites:
Pa  0.0662  0.0000  0.2918 [4 per cell]  2 C 2.56
Cr  0.2074  0.5000  0.0870 [4 per cell]  1 C 1.90
Si  0.1438  0.5000  0.6815 [4 per cell]  3 Cr 2.40-2.41, 1 Si 2.50
C  0.0000  0.5000  0.0000 [2 per cell]  2 Cr 1.90